A relaxed structure of Hf2Co2Pd, computed with PBE-GGA.

Cell lengths 6.885, 6.885, 3.287 Å; angles 90.00, 90.00, 90.00 degrees
Sites, in units of the cell vectors:
Hf (0.172, 0.328, 0.000)
Hf (0.328, 0.828, 0.000)
Hf (0.672, 0.172, 0.000)
Hf (0.828, 0.672, 0.000)
Co (0.125, 0.625, 0.500)
Co (0.375, 0.125, 0.500)
Co (0.625, 0.875, 0.500)
Co (0.875, 0.375, 0.500)
Pd (0.000, 0.000, 0.500)
Pd (0.500, 0.500, 0.500)

Properties
Crystal system: tetragonal
Symmetry: P4/mbm (127)
Energy relative to the elements (meV/atom): -484



A relaxed structure of Hf6CoPd3, computed with PBE-GGA.

Cell lengths 5.353, 8.069, 10.449 Å; angles 90.00, 120.23, 90.00 degrees
Sites, in units of the cell vectors:
Hf (0.061, 0.169, 0.461)
Hf (0.061, 0.331, 0.961)
Hf (0.357, 0.690, 0.443)
Hf (0.357, 0.810, 0.943)
Hf (0.405, 0.077, 0.262)
Hf (0.405, 0.423, 0.762)
Hf (0.595, 0.577, 0.238)
Hf (0.595, 0.923, 0.738)
Hf (0.643, 0.190, 0.057)
Hf (0.643, 0.310, 0.557)
Hf (0.939, 0.669, 0.039)
Hf (0.939, 0.831, 0.539)
Co (0.500, 0.000, 0.500)
Co (0.500, 0.500, 0.000)
Pd (0.000, 0.000, 0.000)
Pd (0.000, 0.500, 0.500)
Pd (0.117, 0.098, 0.760)
Pd (0.117, 0.402, 0.260)
Pd (0.883, 0.598, 0.740)
Pd (0.883, 0.902, 0.240)

Properties
Crystal system: monoclinic
Symmetry: P2_1/c (14)
Energy relative to the elements (meV/atom): -281



A relaxed structure of HfCoPd3, computed with PBE-GGA.

Cell lengths 4.530, 4.530, 4.530 Å; angles 90.00, 90.00, 90.00 degrees
Sites, in units of the cell vectors:
Hf (0.000, 0.000, 0.000)
Co (0.500, 0.500, 0.500)
Pd (0.000, 0.500, 0.500)
Pd (0.500, 0.000, 0.500)
Pd (0.500, 0.500, 0.000)

Properties
Crystal system: cubic
Symmetry: Pm-3m (221)
Energy relative to the elements (meV/atom): 494
Polymorph energy (0 for the lowest one) (meV/atom): 0



A relaxed structure of PmHfCoPd, computed with PBE-GGA.

Cell lengths 4.788, 4.788, 4.788 Å; angles 60.00, 60.00, 60.00 degrees
Sites, in units of the cell vectors:
Pm (0.000, 0.000, 0.000)
Hf (0.500, 0.500, 0.500)
Co (0.250, 0.250, 0.250)
Pd (0.750, 0.750, 0.750)

Properties
Crystal system: cubic
Symmetry: F-43m (216)
Energy relative to the elements (meV/atom): -296



A relaxed structure of HfCoPd2Rh, computed with PBE-GGA.

Cell lengths 4.767, 4.767, 4.446 Å; angles 90.00, 90.00, 90.00 degrees
Sites, in units of the cell vectors:
Hf (0.000, 0.000, 0.000)
Co (0.000, 0.000, 0.500)
Pd (0.000, 0.500, 0.000)
Pd (0.500, 0.000, 0.000)
Rh (0.500, 0.500, 0.500)

Properties
Crystal system: tetragonal
Symmetry: P4/mmm (123)
Energy relative to the elements (meV/atom): 1120



A relaxed structure of HfCoSbPd, computed with PBE-GGA.

Cell lengths 4.559, 4.559, 4.559 Å; angles 60.00, 60.00, 60.00 degrees
Sites, in units of the cell vectors:
Hf (0.000, 0.000, 0.000)
Co (0.750, 0.750, 0.750)
Sb (0.500, 0.500, 0.500)
Pd (0.250, 0.250, 0.250)

Properties
Crystal system: cubic
Symmetry: F-43m (216)
Energy relative to the elements, uncorrected (eV/atom): -0.3806



A relaxed structure of SrHf2CoPd, computed with PBE-GGA.

Cell lengths 4.991, 4.991, 5.616 Å; angles 90.00, 90.00, 90.00 degrees
Sites, in units of the cell vectors:
Sr (0.000, 0.000, 0.000)
Hf (0.000, 0.500, 0.500)
Hf (0.500, 0.000, 0.500)
Co (0.500, 0.500, 0.000)
Pd (0.000, 0.000, 0.500)

Properties
Crystal system: tetragonal
Symmetry: P4/mmm (123)
Energy relative to the elements (meV/atom): 949



A relaxed structure of HfTa2CoPd, computed with PBE-GGA.

Cell lengths 4.941, 4.941, 4.723 Å; angles 90.00, 90.00, 90.00 degrees
Sites, in units of the cell vectors:
Hf (0.000, 0.000, 0.000)
Ta (0.000, 0.500, 0.000)
Ta (0.500, 0.000, 0.000)
Co (0.500, 0.500, 0.500)
Pd (0.000, 0.000, 0.500)

Properties
Crystal system: tetragonal
Symmetry: P4/mmm (123)
Energy relative to the elements (meV/atom): 1913



A relaxed structure of Hf2CoTePd, computed with PBE-GGA.

Cell lengths 4.665, 4.665, 4.822 Å; angles 90.00, 90.00, 90.00 degrees
Sites, in units of the cell vectors:
Hf (0.000, 0.500, 0.000)
Hf (0.500, 0.000, 0.000)
Co (0.000, 0.000, 0.000)
Te (0.500, 0.500, 0.500)
Pd (0.000, 0.000, 0.500)

Properties
Crystal system: tetragonal
Symmetry: P4/mmm (123)
Energy relative to the elements, uncorrected (eV/atom): 0.0736



A relaxed structure of HfZnCoPd, computed with PBE-GGA.

Cell lengths 4.400, 4.400, 4.400 Å; angles 60.00, 60.00, 60.00 degrees
Sites, in units of the cell vectors:
Hf (0.000, 0.000, 0.000)
Zn (0.500, 0.500, 0.500)
Co (0.750, 0.750, 0.750)
Pd (0.250, 0.250, 0.250)

Properties
Crystal system: cubic
Symmetry: F-43m (216)
Energy relative to the elements (meV/atom): -437
Polymorph energy (0 for the lowest one) (meV/atom): 19



A relaxed structure of HfZnCoPd, computed with PBE-GGA.

Cell lengths 4.573, 4.573, 4.573 Å; angles 126.52, 126.52, 79.04 degrees
Sites, in units of the cell vectors:
Hf (0.000, 0.000, 0.000)
Zn (0.500, 0.500, 0.000)
Co (0.750, 0.250, 0.500)
Pd (0.250, 0.750, 0.500)

Properties
Crystal system: tetragonal
Symmetry: I-4m2 (119)
Energy relative to the elements (meV/atom): -456
Polymorph energy (0 for the lowest one) (meV/atom): 0



A relaxed structure of Hf5Zr2Co2Pd, computed with PBE-GGA.

Cell lengths 10.914, 10.914, 3.261 Å; angles 90.00, 90.00, 90.00 degrees
Sites, in units of the cell vectors:
Hf (0.000, 0.500, 0.000)
Hf (0.059, 0.207, 0.000)
Hf (0.207, 0.941, 0.000)
Hf (0.293, 0.441, 0.000)
Hf (0.441, 0.707, 0.000)
Hf (0.500, 0.000, 0.000)
Hf (0.559, 0.293, 0.000)
Hf (0.707, 0.559, 0.000)
Hf (0.793, 0.059, 0.000)
Hf (0.941, 0.793, 0.000)
Zr (0.178, 0.678, 0.500)
Zr (0.322, 0.178, 0.500)
Zr (0.678, 0.822, 0.500)
Zr (0.822, 0.322, 0.500)
Co (0.130, 0.370, 0.500)
Co (0.370, 0.870, 0.500)
Co (0.630, 0.130, 0.500)
Co (0.870, 0.630, 0.500)
Pd (0.000, 0.000, 0.500)
Pd (0.500, 0.500, 0.500)

Properties
Crystal system: tetragonal
Symmetry: P4/mbm (127)
Energy relative to the elements (meV/atom): -352



Number 1: total magnetization 0.00 μB per formula unit, raw total energy -0.307 Ha/atom. Number 2: total magnetization 0.00 μB per formula unit, raw total energy -0.313 Ha/atom. Number 3: total magnetization 2.29 μB per formula unit, raw total energy -0.222 Ha/atom. Number 4: total magnetization 0.54 μB per formula unit, raw total energy -0.259 Ha/atom. Number 5: total magnetization 1.57 μB per formula unit, raw total energy -0.215 Ha/atom. Number 6: total magnetization 0.00 μB per formula unit, raw total energy -0.256 Ha/atom. Number 7: total magnetization 0.00 μB per formula unit, raw total energy -0.214 Ha/atom. Number 8: total magnetization 1.69 μB per formula unit, raw total energy -0.267 Ha/atom. Number 9: total magnetization 0.00 μB per formula unit, raw total energy -0.257 Ha/atom. Number 10: total magnetization 0.52 μB per formula unit, raw total energy -0.232 Ha/atom. Number 11: total magnetization 0.00 μB per formula unit, raw total energy -0.233 Ha/atom. Number 12: total magnetization 0.00 μB per formula unit, raw total energy -0.330 Ha/atom.